(1)
Cd5AgAu2 | the Alexandria database | PBE-GGA | relaxed; SG = No. 140; ΔH_f (0 K) = -0.085 eV/atom; energy above the most stable polymorph in this dataset = 10 meV per atom; DOS(E_F) = 5.37 states/eV per cell; electronic total energy = -1.83 eV per atom
1.0
-3.702 3.702 6.100
3.702 -3.702 6.100
3.702 3.702 -6.100
Cd Ag Au
10 2 4
Cartesian
0.000 0.000 0.000
2.546 -1.156 1.940
4.858 -1.156 4.159
4.858 1.156 1.940
2.546 1.156 4.159
0.000 0.000 6.100
1.156 2.546 1.940
-1.156 2.546 4.159
-1.156 4.858 1.940
1.156 4.858 4.159
0.000 0.000 3.050
0.000 0.000 9.149
2.668 1.034 0.000
2.668 -1.034 6.100
1.034 4.736 0.000
1.034 2.668 6.100

=====

(2)
CdAg2Au5 | the Alexandria database | PBE-GGA | relaxed; SG = No. 140; ΔH_f (0 K) = 0.005 eV/atom; energy above the most stable polymorph in this dataset = 64 meV per atom; DOS(E_F) = 4.58 states/eV per cell; electronic total energy = -2.87 eV per atom
1.0
-3.659 3.659 5.670
3.659 -3.659 5.670
3.659 3.659 -5.670
Cd Ag Au
2 4 10
Cartesian
0.000 0.000 2.835
0.000 0.000 8.506
4.726 1.067 0.000
1.067 2.592 0.000
2.592 1.067 5.670
-1.067 2.592 5.670
0.000 0.000 0.000
4.750 -1.091 1.877
2.568 -1.091 3.794
2.568 1.091 1.877
4.750 1.091 3.794
0.000 0.000 5.670
-1.091 2.568 1.877
1.091 2.568 3.794
1.091 4.750 1.877
-1.091 4.750 3.794

=====

(3)
CdAg8Au5 | the Alexandria database | PBE-GGA | relaxed; SG = No. 82; ΔH_f (0 K) = 0.077 eV/atom; DOS(E_F) = 2.16 states/eV per cell; electronic total energy = -2.79 eV per atom
1.0
-3.982 3.982 4.299
3.982 -3.982 4.299
3.982 3.982 -4.299
Cd Ag Au
1 8 5
Cartesian
0.000 0.000 0.000
2.623 0.822 -0.066
2.656 3.445 -1.335
3.160 -1.359 4.365
1.326 0.537 2.964
4.519 2.656 1.335
0.822 5.341 0.066
-0.537 1.326 5.634
1.359 3.160 4.232
4.976 1.653 -1.455
3.982 0.000 2.149
1.653 2.988 1.455
-0.994 2.329 2.844
2.329 0.994 5.754

=====

(4)
CdAg2Au2 | the Alexandria database | PBE-GGA | relaxed; SG = No. 139; ΔH_f (0 K) = 0.080 eV/atom; energy above the most stable polymorph in this dataset = 143 meV per atom; DOS(E_F) = 1.92 states/eV per cell; electronic total energy = -2.55 eV per atom
1.0
-1.935 1.935 6.966
1.935 -1.935 6.966
1.935 1.935 -6.966
Cd Ag Au
1 2 2
Cartesian
0.000 0.000 0.000
0.000 0.000 5.615
0.000 0.000 8.318
1.935 0.000 3.483
0.000 1.935 3.483

=====

(5)
Cd2Ag2Au | the Alexandria database | PBE-GGA | relaxed; SG = No. 36; ΔH_f (0 K) = -0.085 eV/atom; energy above the most stable polymorph in this dataset = 6 meV per atom; DOS(E_F) = 3.25 states/eV per cell; electronic total energy = -2.25 eV per atom
1.0
2.357 -7.558 0.000
2.357 7.558 0.000
0.000 0.000 5.530
Cd Ag Au
4 4 2
Cartesian
2.357 6.564 2.765
2.357 3.403 3.801
2.357 -3.403 1.036
2.357 -6.564 0.000
2.357 2.355 1.063
2.357 0.535 3.835
2.357 -0.535 1.070
2.357 -2.355 3.828
2.357 5.576 0.057
2.357 -5.576 2.822

=====

(6)
Cd6Ag2Au3 | the Alexandria database | PBE-GGA | relaxed; SG = No. 139; ΔH_f (0 K) = 0.006 eV/atom; DOS(E_F) = 4.74 states/eV per cell; electronic total energy = -1.91 eV per atom
1.0
-2.124 2.124 13.642
2.124 -2.124 13.642
2.124 2.124 -13.642
Cd Ag Au
6 2 3
Cartesian
2.124 0.000 1.891
0.000 0.000 6.616
2.124 0.000 11.750
0.000 2.124 1.891
0.000 0.000 20.668
0.000 2.124 11.750
0.000 0.000 9.490
0.000 0.000 17.794
0.000 0.000 0.000
0.000 0.000 3.881
0.000 0.000 23.402

=====

(7)
Cd3Ag5Au2 | the Alexandria database | PBE-GGA | relaxed; SG = No. 72; ΔH_f (0 K) = 0.064 eV/atom; energy above the most stable polymorph in this dataset = 146 meV per atom; DOS(E_F) = 6.34 states/eV per cell; electronic total energy = -2.29 eV per atom
1.0
-5.480 6.980 2.744
5.480 -6.980 2.744
5.480 6.980 -2.744
Cd Ag Au
6 10 4
Cartesian
1.374 3.394 0.000
0.000 0.000 1.372
6.854 3.587 0.000
-1.374 3.394 2.744
0.000 0.000 4.116
4.105 3.587 2.744
4.166 2.132 0.000
2.767 0.000 1.372
5.480 0.000 1.372
8.192 0.000 1.372
4.166 -2.132 2.744
1.314 9.112 0.000
-2.712 6.980 1.372
0.000 6.980 1.372
2.712 6.980 1.372
1.314 4.849 2.744
4.036 -4.838 2.744
4.036 4.838 0.000
1.444 2.143 2.744
1.444 11.818 0.000

=====

(8)
Cd2Ag7Au3 | the Alexandria database | PBE-GGA | relaxed; SG = No. 10; ΔH_f (0 K) = 0.025 eV/atom; energy above the most stable polymorph in this dataset = 5 meV per atom; DOS(E_F) = 3.00 states/eV per cell; electronic total energy = -2.61 eV per atom
1.0
4.778 0.000 0.000
0.000 2.900 0.000
-1.111 0.000 16.498
Cd Ag Au
2 7 3
Cartesian
0.646 0.000 4.839
3.021 0.000 11.659
0.657 1.450 2.350
0.640 0.000 7.575
0.627 0.000 13.428
2.389 1.450 0.000
3.040 0.000 3.070
3.028 0.000 8.923
3.010 1.450 14.148
0.000 0.000 0.000
0.634 1.450 10.249
3.033 1.450 6.248